# PBE-GGA V2Co3Pt, relaxed
data_V2Co3Pt
_chemical_formula_sum 'V8 Co12 Pt4'
_cell_length_a 11.9789
_cell_length_b 4.1909
_cell_length_c 6.9889
_cell_angle_alpha 90.00
_cell_angle_beta 121.88
_cell_angle_gamma 90.00
_space_group_name_H-M_alt 'C 1 2/m 1'
_space_group_IT_number 12
loop_
_space_group_symop_operation_xyz
'x,y,z'
'-x,-y,-z'
'-x,y,-z'
'x,-y,z'
'x+1/2,y+1/2,z'
'-x+1/2,-y+1/2,-z'
'-x+1/2,y+1/2,-z'
'x+1/2,-y+1/2,z'
loop_
_atom_site_label
_atom_site_fract_x
_atom_site_fract_y
_atom_site_fract_z
V1 0.0256 0.0000 0.2019
V2 0.2040 0.5000 0.5727
Co1 0.0395 0.5000 0.7005
Co2 0.1156 0.0000 0.5797
Co3 0.2026 0.0000 0.9973
Pt1 0.1360 0.5000 0.1463
# DFT formation energy   -0.135 eV/atom
# Uncorrected energy   -7.734 eV/atom
# Energy above the lowest structure with this stoichiometry   9.00 kJ/mol of atoms

# PBE-GGA VCoPt6, relaxed
data_VCoPt6
_chemical_formula_sum 'V1 Co1 Pt6'
_cell_length_a 5.5266
_cell_length_b 5.5266
_cell_length_c 3.8806
_cell_angle_alpha 90.00
_cell_angle_beta 90.00
_cell_angle_gamma 90.00
_space_group_name_H-M_alt 'P 4/m m m'
_space_group_IT_number 123
_space_group_name_Hall '-P 4 2'
loop_
_atom_site_label
_atom_site_fract_x
_atom_site_fract_y
_atom_site_fract_z
V1 0.0000 0.0000 0.0000
Co1 0.5000 0.5000 0.0000
Pt1 0.0000 0.5000 0.0000
Pt2 0.2477 0.2477 0.5000
# DFT formation energy   -0.286 eV/atom
# Uncorrected energy   -6.845 eV/atom

# PBE-GGA VCoPt2, relaxed
data_VCoPt2
_chemical_formula_sum 'V4 Co4 Pt8'
_cell_length_a 6.0964
_cell_length_b 6.0964
_cell_length_c 6.0964
_cell_angle_alpha 90.00
_cell_angle_beta 90.00
_cell_angle_gamma 90.00
_space_group_name_H-M_alt 'F m -3 m'
_space_group_IT_number 225
_space_group_name_Hall '-F 4 2 3'
loop_
_atom_site_label
_atom_site_fract_x
_atom_site_fract_y
_atom_site_fract_z
V1 0.0000 0.0000 0.0000
Co1 0.0000 0.0000 0.5000
Pt1 0.2500 0.2500 0.2500
# DFT formation energy   -0.160 eV/atom
# Uncorrected energy   -7.236 eV/atom

# PBE-GGA V3CoPt, relaxed
data_V3CoPt
_chemical_formula_sum 'V24 Co8 Pt8'
_cell_length_a 8.4557
_cell_length_b 5.2362
_cell_length_c 12.7335
_cell_angle_alpha 90.00
_cell_angle_beta 103.21
_cell_angle_gamma 90.00
_space_group_name_H-M_alt 'C 1 2/c 1'
_space_group_IT_number 15
loop_
_space_group_symop_operation_xyz
'x,y,z'
'-x,-y,-z'
'-x,y,-z+1/2'
'x,-y,z+1/2'
'x+1/2,y+1/2,z'
'-x+1/2,-y+1/2,-z'
'-x+1/2,y+1/2,-z+1/2'
'x+1/2,-y+1/2,z+1/2'
loop_
_atom_site_label
_atom_site_fract_x
_atom_site_fract_y
_atom_site_fract_z
V1 0.0192 0.1037 0.0873
V2 0.1827 0.1582 0.7904
V3 0.2271 0.3528 0.4060
Co1 0.0000 0.2599 0.2500
Co2 0.2500 0.2500 0.0000
Pt1 0.0352 0.3945 0.6084
# DFT formation energy   -0.096 eV/atom
# Uncorrected energy   -8.196 eV/atom
# Energy above the lowest structure with this stoichiometry   0.00 kJ/mol of atoms

# PBE-GGA VCo4Pt5, relaxed
data_VCo4Pt5
_chemical_formula_sum 'V1 Co4 Pt5'
_cell_length_a 3.2073
_cell_length_b 3.2073
_cell_length_c 13.5400
_cell_angle_alpha 90.00
_cell_angle_beta 90.00
_cell_angle_gamma 90.00
_space_group_name_H-M_alt 'P 4/m m m'
_space_group_IT_number 123
_space_group_name_Hall '-P 4 2'
loop_
_atom_site_label
_atom_site_fract_x
_atom_site_fract_y
_atom_site_fract_z
V1 0.0000 0.0000 0.0000
Co1 0.0000 0.0000 0.2042
Co2 0.0000 0.0000 0.4014
Pt1 0.5000 0.5000 0.1008
Pt2 0.5000 0.5000 0.3000
Pt3 0.5000 0.5000 0.5000
# DFT formation energy   -0.081 eV/atom
# Uncorrected energy   -6.856 eV/atom

# PBE-GGA V4Co2Pt, relaxed
data_V4Co2Pt
_chemical_formula_sum 'V8 Co4 Pt2'
_cell_length_a 4.6063
_cell_length_b 4.6063
_cell_length_c 11.6356
_cell_angle_alpha 90.00
_cell_angle_beta 90.00
_cell_angle_gamma 90.00
_space_group_name_H-M_alt 'I 4/m m m'
_space_group_IT_number 139
_space_group_name_Hall '-I 4 2'
loop_
_atom_site_label
_atom_site_fract_x
_atom_site_fract_y
_atom_site_fract_z
V1 0.0000 0.0000 0.2147
V2 0.0000 0.5000 0.0000
Co1 0.0000 0.0000 0.3991
Pt1 0.0000 0.0000 0.0000
# DFT formation energy   0.973 eV/atom
# Uncorrected energy   -7.131 eV/atom

# PBE-GGA V2Co3Pt, relaxed
data_V2Co3Pt
_chemical_formula_sum 'V4 Co6 Pt2'
_cell_length_a 3.6936
_cell_length_b 11.1056
_cell_length_c 3.5445
_cell_angle_alpha 90.00
_cell_angle_beta 90.00
_cell_angle_gamma 90.00
_space_group_name_H-M_alt 'C m m m'
_space_group_IT_number 65
_space_group_name_Hall '-C 2 2'
loop_
_atom_site_label
_atom_site_fract_x
_atom_site_fract_y
_atom_site_fract_z
V1 0.0000 0.1646 0.0000
Co1 0.0000 0.0000 0.5000
Co2 0.0000 0.3302 0.5000
Pt1 0.0000 0.5000 0.0000
# DFT formation energy   -0.228 eV/atom
# Uncorrected energy   -7.828 eV/atom
# Energy above the lowest structure with this stoichiometry   0.00 kJ/mol of atoms

# PBE-GGA VCo3Pt4, relaxed
data_VCo3Pt4
_chemical_formula_sum 'V2 Co6 Pt8'
_cell_length_a 21.5437
_cell_length_b 2.6678
_cell_length_c 4.2279
_cell_angle_alpha 90.00
_cell_angle_beta 100.51
_cell_angle_gamma 90.00
_space_group_name_H-M_alt 'C 1 2/m 1'
_space_group_IT_number 12
loop_
_space_group_symop_operation_xyz
'x,y,z'
'-x,-y,-z'
'-x,y,-z'
'x,-y,z'
'x+1/2,y+1/2,z'
'-x+1/2,-y+1/2,-z'
'-x+1/2,y+1/2,-z'
'x+1/2,-y+1/2,z'
loop_
_atom_site_label
_atom_site_fract_x
_atom_site_fract_y
_atom_site_fract_z
V1 0.0000 0.0000 0.0000
Co1 0.0000 0.5000 0.5000
Co2 0.2085 0.5000 0.8172
Pt1 0.0971 0.0000 0.7358
Pt2 0.1789 0.0000 0.2941
# DFT formation energy   0.121 eV/atom
# Uncorrected energy   -6.704 eV/atom

# PBE-GGA VCoPt, relaxed
data_VCoPt
_chemical_formula_sum 'V2 Co2 Pt2'
_cell_length_a 3.0102
_cell_length_b 3.0102
_cell_length_c 8.7386
_cell_angle_alpha 90.00
_cell_angle_beta 90.00
_cell_angle_gamma 90.00
_space_group_name_H-M_alt 'I 4 m m'
_space_group_IT_number 107
_space_group_name_Hall 'I 4 -2'
loop_
_atom_site_label
_atom_site_fract_x
_atom_site_fract_y
_atom_site_fract_z
V1 0.0000 0.0000 0.0000
Co1 0.0000 0.0000 0.6203
Pt1 0.0000 0.0000 0.3137
# DFT formation energy   -0.273 eV/atom
# Uncorrected energy   -7.695 eV/atom
# Energy above the lowest structure with this stoichiometry   7.62 kJ/mol of atoms

# PBE-GGA V2Co2Pt, relaxed
data_V2Co2Pt
_chemical_formula_sum 'V4 Co4 Pt2'
_cell_length_a 4.1615
_cell_length_b 5.1348
_cell_length_c 6.0175
_cell_angle_alpha 90.00
_cell_angle_beta 90.00
_cell_angle_gamma 90.00
_space_group_name_H-M_alt 'I m m m'
_space_group_IT_number 71
_space_group_name_Hall '-I 2 2'
loop_
_atom_site_label
_atom_site_fract_x
_atom_site_fract_y
_atom_site_fract_z
V1 0.0000 0.0000 0.1947
Co1 0.0000 0.2866 0.5000
Pt1 0.0000 0.5000 0.0000
# DFT formation energy   -0.129 eV/atom
# Uncorrected energy   -7.827 eV/atom
# Energy above the lowest structure with this stoichiometry   17.76 kJ/mol of atoms

# PBE-GGA V2Co2Pt, relaxed
data_V2Co2Pt
_chemical_formula_sum 'V4 Co4 Pt2'
_cell_length_a 6.7201
_cell_length_b 6.7201
_cell_length_c 2.7669
_cell_angle_alpha 90.00
_cell_angle_beta 90.00
_cell_angle_gamma 90.00
_space_group_name_H-M_alt 'P 4/m b m'
_space_group_IT_number 127
_space_group_name_Hall '-P 4 2ab'
loop_
_atom_site_label
_atom_site_fract_x
_atom_site_fract_y
_atom_site_fract_z
V1 0.1704 0.3296 0.0000
Co1 0.1289 0.6289 0.5000
Pt1 0.0000 0.0000 0.5000
# DFT formation energy   -0.313 eV/atom
# Uncorrected energy   -8.011 eV/atom
# Energy above the lowest structure with this stoichiometry   0.00 kJ/mol of atoms

# PBE-GGA V2CoPt3, relaxed
data_V2CoPt3
_chemical_formula_sum 'V4 Co2 Pt6'
_cell_length_a 3.8167
_cell_length_b 11.4163
_cell_length_c 3.8267
_cell_angle_alpha 90.00
_cell_angle_beta 90.00
_cell_angle_gamma 90.00
_space_group_name_H-M_alt 'C m m m'
_space_group_IT_number 65
_space_group_name_Hall '-C 2 2'
loop_
_atom_site_label
_atom_site_fract_x
_atom_site_fract_y
_atom_site_fract_z
V1 0.0000 0.1658 0.0000
Co1 0.0000 0.5000 0.0000
Pt1 0.0000 0.0000 0.5000
Pt2 0.0000 0.3331 0.5000
# DFT formation energy   -0.410 eV/atom
# Uncorrected energy   -7.654 eV/atom

Asked for mass density across the records above, the calculation gives 10.56 17.94 14.66 9.85 15.05 6.95 10.82 14.01 12.79 10.71 11.03 14.86 Mg/m³ in order.
Asked for volume across the records above, the calculation gives 12.41 14.82 14.16 13.72 13.93 17.63 12.12 14.93 13.20 12.86 12.49 13.89 Å³ per atom in order.